VASP calculation (PBE) on a relaxed structure of TaPbSe.

Properties
total magnetic moment: 0.000 μB per atom
relative energy among the computed polymorphs: 258 meV per atom
ρ: 10.34 g/cm3
SG: Fmm2, No. 42
formation energy from raw total energies: 1.2 kcal/mol of atoms

Unit cell a=8.473 b=8.279 c=3.137 alpha=82.70 beta=75.75 gamma=21.54
Fractional positions:
Pb 0.026 0.026 0.974
Se 0.293 0.293 0.707
Ta 0.681 0.681 0.319